RuRh3 PBE relaxed; DFT total energy = -7.7992 eV/atom; space-group type = C2/m (12); theoretical density = 12.054 g/cm³; formation energy = 0.033 eV/atom
1.0
8.9843 0.0000 0.0000
0.0000 2.7141 0.0000
-0.8124 0.0000 4.6300
Ru Rh
2 6
Direct
0.0000 0.0000 0.0000 Ru
0.5000 0.5000 0.0000 Ru
0.0000 0.5000 0.5000 Rh
0.2484 0.5000 0.2464 Rh
0.2516 0.0000 0.7536 Rh
0.5000 0.0000 0.5000 Rh
0.7484 0.0000 0.2464 Rh
0.7516 0.5000 0.7536 Rh